[1]
Density functional theory data (PBE-GGA) for an optimized crystal structure of NaPrMgCd.

Unit cell a=7.4788 b=7.4788 c=7.4788 alpha=90.00 beta=90.00 gamma=90.00
With the nearest neighbours (Å) after each atom.
Fractional coordinates of all 16 atoms:
Na 0.0000 0.0000 0.0000  4 Mg 3.24, 4 Pr 3.24
Na 0.0000 0.5000 0.5000  4 Mg 3.24, 4 Pr 3.24
Na 0.5000 0.0000 0.5000  4 Mg 3.24, 4 Pr 3.24
Na 0.5000 0.5000 0.0000  4 Mg 3.24, 4 Pr 3.24
Pr 0.2500 0.2500 0.7500  4 Cd 3.24, 4 Na 3.24
Pr 0.2500 0.7500 0.2500  4 Cd 3.24, 4 Na 3.24
Pr 0.7500 0.2500 0.2500  4 Cd 3.24, 4 Na 3.24
Pr 0.7500 0.7500 0.7500  4 Cd 3.24, 4 Na 3.24
Mg 0.2500 0.2500 0.2500  4 Cd 3.24, 4 Na 3.24
Mg 0.2500 0.7500 0.7500  4 Cd 3.24, 4 Na 3.24
Mg 0.7500 0.2500 0.7500  4 Cd 3.24, 4 Na 3.24
Mg 0.7500 0.7500 0.2500  4 Cd 3.24, 4 Na 3.24
Cd 0.0000 0.0000 0.5000  4 Pr 3.24, 4 Mg 3.24
Cd 0.0000 0.5000 0.0000  4 Pr 3.24, 4 Mg 3.24
Cd 0.5000 0.0000 0.0000  4 Pr 3.24, 4 Mg 3.24
Cd 0.5000 0.5000 0.5000  4 Pr 3.24, 4 Mg 3.24

ΔE_f = -0.107 eV per atom
DFT total energy = -2.26 eV/atom
Spin magnetization = 0.00 μB/f.u.

[2]
Density functional theory data (PBE-GGA) for an optimized crystal structure of RbUTe2Se.

Unit cell a=9.5378 b=4.5102 c=9.6415 alpha=90.00 beta=100.83 gamma=90.00
With the nearest neighbours (Å) after each atom.
Fractional coordinates of all 10 atoms:
Rb 0.1572 0.2500 0.3123  2 Se 3.44
Rb 0.8428 0.7500 0.6877  2 Se 3.44
U 0.3258 0.7500 0.8504  1 Se 2.55
U 0.6742 0.2500 0.1496  1 Se 2.55
Te 0.1360 0.2500 0.9027  2 U 2.99
Te 0.4576 0.7500 0.1719  3 U 3.09-3.12
Te 0.5424 0.2500 0.8281  3 U 3.09-3.12
Te 0.8640 0.7500 0.0973  2 U 2.99
Se 0.2286 0.7500 0.5852  1 U 2.55
Se 0.7714 0.2500 0.4148  1 U 2.55

DFT total energy = -5.23 eV/atom
Spin magnetization = 1.00 μB/f.u.
Formation energy from raw total energies = -0.83 eV per atom

[3]
Density functional theory data (PBE-GGA) for an optimized crystal structure of ZrPaSbAu.

Unit cell a=7.2020 b=7.2020 c=7.2020 alpha=90.00 beta=90.00 gamma=90.00
With the nearest neighbours (Å) after each atom.
Fractional coordinates of all 16 atoms:
Zr 0.0000 0.0000 0.0000  4 Au 3.12, 4 Sb 3.12
Zr 0.0000 0.5000 0.5000  4 Au 3.12, 4 Sb 3.12
Zr 0.5000 0.0000 0.5000  4 Au 3.12, 4 Sb 3.12
Zr 0.5000 0.5000 0.0000  4 Au 3.12, 4 Sb 3.12
Pa 0.0000 0.0000 0.5000  4 Sb 3.12, 4 Au 3.12
Pa 0.0000 0.5000 0.0000  4 Sb 3.12, 4 Au 3.12
Pa 0.5000 0.0000 0.0000  4 Sb 3.12, 4 Au 3.12
Pa 0.5000 0.5000 0.5000  4 Sb 3.12, 4 Au 3.12
Sb 0.2500 0.2500 0.2500  4 Zr 3.12, 4 Pa 3.12
Sb 0.2500 0.7500 0.7500  4 Zr 3.12, 4 Pa 3.12
Sb 0.7500 0.2500 0.7500  4 Zr 3.12, 4 Pa 3.12
Sb 0.7500 0.7500 0.2500  4 Zr 3.12, 4 Pa 3.12
Au 0.2500 0.2500 0.7500  4 Zr 3.12, 4 Pa 3.12
Au 0.2500 0.7500 0.2500  4 Zr 3.12, 4 Pa 3.12
Au 0.7500 0.2500 0.2500  4 Zr 3.12, 4 Pa 3.12
Au 0.7500 0.7500 0.7500  4 Zr 3.12, 4 Pa 3.12

DFT total energy = -6.68 eV/atom
Spin magnetization = 1.71 μB/f.u.
Formation energy from raw total energies = -0.32 eV per atom

[4]
Density functional theory data (PBE-GGA) for an optimized crystal structure of BaTiNiP2.

Unit cell a=3.9643 b=3.9643 c=13.0064 alpha=90.00 beta=90.00 gamma=90.00
With the nearest neighbours (Å) after each atom.
Fractional coordinates of all 10 atoms:
Ba 0.0000 0.0000 0.0000  8 P 3.40
Ba 0.5000 0.5000 0.5000  8 P 3.40
Ti 0.0000 0.5000 0.7500  4 P 2.39
Ti 0.5000 0.0000 0.2500  4 P 2.39
Ni 0.0000 0.5000 0.2500  4 P 2.39
Ni 0.5000 0.0000 0.7500  4 P 2.39
P 0.0000 0.0000 0.3521  2 Ni 2.39, 2 Ti 2.39
P 0.0000 0.0000 0.6479  2 Ni 2.39, 2 Ti 2.39
P 0.5000 0.5000 0.1479  2 Ni 2.39, 2 Ti 2.39
P 0.5000 0.5000 0.8521  2 Ni 2.39, 2 Ti 2.39

ΔE_f = -1.013 eV per atom
DFT total energy = -6.30 eV/atom
Spin magnetization = 0.00 μB/f.u.

[5]
Density functional theory data (PBE-GGA) for an optimized crystal structure of HfMg2Sc3.

Unit cell a=3.2377 b=3.2377 c=13.3593 alpha=90.00 beta=90.00 gamma=90.00
With the nearest neighbours (Å) after each atom.
Fractional coordinates of all 6 atoms:
Hf 0.0000 0.0000 0.0000  8 Sc 3.15, 4 Hf 3.24
Mg 0.0000 0.0000 0.3345  8 Sc 3.18-3.25, 4 Mg 3.24
Mg 0.0000 0.0000 0.6655  8 Sc 3.18-3.25, 4 Mg 3.24
Sc 0.5000 0.5000 0.1616  4 Hf 3.15, 4 Sc 3.24, 4 Mg 3.25
Sc 0.5000 0.5000 0.5000  8 Mg 3.18, 4 Sc 3.24
Sc 0.5000 0.5000 0.8384  4 Hf 3.15, 4 Sc 3.24, 4 Mg 3.25

ΔE_f = -0.033 eV per atom
DFT total energy = -5.39 eV/atom
Spin magnetization = 0.01 μB/f.u.

[6]
Density functional theory data (PBE-GGA) for an optimized crystal structure of SrMo2W.

Unit cell a=3.1856 b=3.1856 c=8.0984 alpha=90.00 beta=90.00 gamma=90.00
With the nearest neighbours (Å) after each atom.
Fractional coordinates of all 4 atoms:
Sr 0.0000 0.0000 0.0000  4 Sr 3.19, 4 W 3.41, 4 Mo 3.43
Mo 0.0000 0.0000 0.4990  4 Mo 2.69, 4 W 2.69
Mo 0.5000 0.5000 0.6799  4 Mo 2.69, 1 W 2.94
W 0.5000 0.5000 0.3166  5 Mo 2.69-2.94

ΔE_f = 0.756 eV per atom
DFT total energy = -8.32 eV/atom
Spin magnetization = 0.00 μB/f.u.

[7]
Density functional theory data (PBE-GGA) for an optimized crystal structure of TmTlCo.

Unit cell a=11.1218 b=11.1218 c=11.1218 alpha=19.90 beta=19.90 gamma=19.90
With the nearest neighbours (Å) after each atom.
Fractional coordinates of all 6 atoms:
Tm 0.0545 0.0545 0.0545  6 Co 2.84-2.85
Tm 0.9455 0.9455 0.9455  6 Co 2.84-2.85
Tl 0.2026 0.2026 0.2026  3 Tl 3.23, 3 Tm 3.34
Tl 0.7974 0.7974 0.7974  3 Tl 3.23, 3 Tm 3.34
Co 0.3337 0.3337 0.3337  3 Co 2.22
Co 0.6663 0.6663 0.6663  3 Co 2.22

ΔE_f = -0.249 eV per atom
DFT total energy = -4.90 eV/atom
Spin magnetization = 0.27 μB/f.u.

[8]
Density functional theory data (PBE-GGA) for an optimized crystal structure of LiPaRhPb.

Unit cell a=6.8159 b=6.8159 c=6.8159 alpha=90.00 beta=90.00 gamma=90.00
With the nearest neighbours (Å) after each atom.
Fractional coordinates of all 16 atoms:
Li 0.0000 0.0000 0.0000  4 Pb 2.95, 4 Pa 2.95
Li 0.0000 0.5000 0.5000  4 Pb 2.95, 4 Pa 2.95
Li 0.5000 0.0000 0.5000  4 Pb 2.95, 4 Pa 2.95
Li 0.5000 0.5000 0.0000  4 Pb 2.95, 4 Pa 2.95
Pa 0.2500 0.2500 0.2500  4 Li 2.95, 4 Rh 2.95
Pa 0.2500 0.7500 0.7500  4 Li 2.95, 4 Rh 2.95
Pa 0.7500 0.2500 0.7500  4 Li 2.95, 4 Rh 2.95
Pa 0.7500 0.7500 0.2500  4 Li 2.95, 4 Rh 2.95
Rh 0.0000 0.0000 0.5000  4 Pa 2.95, 4 Pb 2.95
Rh 0.0000 0.5000 0.0000  4 Pa 2.95, 4 Pb 2.95
Rh 0.5000 0.0000 0.0000  4 Pa 2.95, 4 Pb 2.95
Rh 0.5000 0.5000 0.5000  4 Pa 2.95, 4 Pb 2.95
Pb 0.2500 0.2500 0.7500  4 Li 2.95, 4 Rh 2.95
Pb 0.2500 0.7500 0.2500  4 Li 2.95, 4 Rh 2.95
Pb 0.7500 0.2500 0.2500  4 Li 2.95, 4 Rh 2.95
Pb 0.7500 0.7500 0.7500  4 Rh 2.95, 4 Li 2.95

ΔE_f = -0.293 eV per atom
DFT total energy = -5.91 eV/atom
Spin magnetization = 0.94 μB/f.u.

[9]
Density functional theory data (PBE-GGA) for an optimized crystal structure of K3Np3CdSe8.

Unit cell a=9.1356 b=9.1356 c=9.1356 alpha=54.42 beta=54.42 gamma=54.42
With the nearest neighbours (Å) after each atom.
Fractional coordinates of all 15 atoms:
K 0.0000 0.5000 0.5000  6 Se 3.33-3.37
K 0.5000 0.0000 0.5000  6 Se 3.33-3.37
K 0.5000 0.5000 0.0000  6 Se 3.33-3.37
Np 0.0000 0.0000 0.5000  6 Se 2.85-2.89
Np 0.0000 0.5000 0.0000  6 Se 2.85-2.89
Np 0.5000 0.0000 0.0000  6 Se 2.85-2.89
Cd 0.5000 0.5000 0.5000  6 Se 2.92
Se 0.2255 0.7378 0.7378  2 Np 2.85, 1 Cd 2.92
Se 0.2349 0.2349 0.2349  3 Np 2.89
Se 0.2622 0.2622 0.7745  2 Np 2.85, 1 Cd 2.92
Se 0.2622 0.7745 0.2622  2 Np 2.85, 1 Cd 2.92
Se 0.7378 0.2255 0.7378  2 Np 2.85, 1 Cd 2.92
Se 0.7378 0.7378 0.2255  2 Np 2.85, 1 Cd 2.92
Se 0.7651 0.7651 0.7651  3 Np 2.89
Se 0.7745 0.2622 0.2622  2 Np 2.85, 1 Cd 2.92

DFT total energy = -5.85 eV/atom
Spin magnetization = 10.00 μB/f.u.
Formation energy from raw total energies = -1.12 eV per atom

[10]
Density functional theory data (PBE-GGA) for an optimized crystal structure of LiAcNiP2.

Unit cell a=4.1769 b=4.1769 c=9.7851 alpha=90.00 beta=90.00 gamma=90.00
With the nearest neighbours (Å) after each atom.
Fractional coordinates of all 10 atoms:
Li 0.0000 0.0000 0.0000  4 P 2.41
Li 0.5000 0.5000 0.5000  4 P 2.41
Ac 0.0000 0.5000 0.7500  8 P 3.20, 4 Li 3.22, 4 Ni 3.22
Ac 0.5000 0.0000 0.2500  8 P 3.20, 4 Li 3.22, 4 Ni 3.22
Ni 0.0000 0.0000 0.5000  4 P 2.41
Ni 0.5000 0.5000 0.0000  4 P 2.41
P 0.0000 0.5000 0.1238  2 Li 2.41, 2 Ni 2.41, 1 P 2.47
P 0.0000 0.5000 0.3762  2 Li 2.41, 2 Ni 2.41, 1 P 2.47
P 0.5000 0.0000 0.6238  2 Li 2.41, 2 Ni 2.41, 1 P 2.47
P 0.5000 0.0000 0.8762  2 Li 2.41, 2 Ni 2.41, 1 P 2.47

ΔE_f = -0.901 eV per atom
DFT total energy = -5.43 eV/atom
Spin magnetization = 0.00 μB/f.u.

[11]
Density functional theory data (PBE-GGA) for an optimized crystal structure of GdDy2P.

Unit cell a=3.7940 b=3.7940 c=28.1913 alpha=90.00 beta=90.00 gamma=120.00
With the nearest neighbours (Å) after each atom.
Fractional coordinates of all 12 atoms:
Gd 0.0000 0.0000 0.0000  6 Dy 3.75, 6 Gd 3.79
Gd 0.3333 0.6667 0.6667  6 Dy 3.75, 6 Gd 3.79
Gd 0.6667 0.3333 0.3333  6 Dy 3.75, 6 Gd 3.79
Dy 0.0000 0.0000 0.2252  3 P 2.74
Dy 0.0000 0.0000 0.7748  3 P 2.74
Dy 0.3333 0.6667 0.4415  3 P 2.74
Dy 0.3333 0.6667 0.8919  3 P 2.74
Dy 0.6667 0.3333 0.1081  3 P 2.74
Dy 0.6667 0.3333 0.5585  3 P 2.74
P 0.0000 0.0000 0.5000  6 Dy 2.74
P 0.3333 0.6667 0.1667  6 Dy 2.74
P 0.6667 0.3333 0.8333  6 Dy 2.74

ΔE_f = -0.693 eV per atom
DFT total energy = -7.87 eV/atom
Spin magnetization = 7.95 μB/f.u.

[12]
Density functional theory data (PBE-GGA) for an optimized crystal structure of Ga2MoC.

Unit cell a=7.1483 b=7.1483 c=4.3643 alpha=90.00 beta=90.00 gamma=90.00
With the nearest neighbours (Å) after each atom.
Fractional coordinates of all 16 atoms:
Ga 0.1567 0.7500 0.1250  2 C 2.18
Ga 0.2500 0.1567 0.8750  2 C 2.18
Ga 0.2500 0.3433 0.3750  2 C 2.18
Ga 0.3433 0.7500 0.6250  2 C 2.18
Ga 0.6567 0.2500 0.6250  2 C 2.18
Ga 0.7500 0.6567 0.3750  2 C 2.18
Ga 0.7500 0.8433 0.8750  2 C 2.18
Ga 0.8433 0.2500 0.1250  2 C 2.18
Mo 0.0000 0.0000 0.5000  2 C 2.18
Mo 0.0000 0.5000 0.7500  2 C 2.18
Mo 0.5000 0.0000 0.2500  2 C 2.18
Mo 0.5000 0.5000 0.0000  2 C 2.18
C 0.0000 0.0000 0.0000  4 Ga 2.18, 2 Mo 2.18
C 0.0000 0.5000 0.2500  4 Ga 2.18, 2 Mo 2.18
C 0.5000 0.0000 0.7500  4 Ga 2.18, 2 Mo 2.18
C 0.5000 0.5000 0.5000  4 Ga 2.18, 2 Mo 2.18

ΔE_f = 0.708 eV per atom
DFT total energy = -5.82 eV/atom
Spin magnetization = 0.00 μB/f.u.